Compound: Ba2HgP2
Source: Alexandria via LeMat-Bulk
Functional: PBEsol
Structure: optimized geometry

Calculated values
As for the density of states at the Fermi level: 3.13 states/eV per cell. Its energy relative to the elements is -0.4379 eV per atom.

Cell lengths 10.180, 10.180, 10.180 Å; angles 158.77, 158.77, 30.20 degrees
Fractional positions:
Ba  0.120  0.120  0.000
Ba  0.880  0.880  0.000
Hg  0.500  0.500  0.000
P  0.250  0.750  0.500
P  0.750  0.250  0.500